(1)
{
  "formula": "YTa3Pt",
  "functional": "meta-GGA SCAN",
  "state": "PBEsol geometry",
  "cell": [[4.7116, 0.0000, 0.0000], [0.0000, 4.7116, 0.0000], [0.0000, 0.0000, 4.7116]],
  "species": ["Y", "Ta", "Ta", "Ta", "Pt"],
  "fractional_positions": [[0.0000, 0.0000, 0.0000], [0.0000, 0.0000, 0.5000], [0.0000, 0.5000, 0.0000], [0.5000, 0.0000, 0.0000], [0.5000, 0.5000, 0.5000]],
  "final_energy_ev_per_cell": -285.10,
  "crystal_system": "cubic",
  "spacegroup": "Pm-3m (221)",
  "formation_energy_mev_per_atom": 2538,
  "n_ef_per_ev_cell": 6.83
}

***

(2)
{
  "formula": "YTa2Pt",
  "functional": "meta-GGA SCAN",
  "state": "PBEsol geometry",
  "cell": [[3.3693, 0.0000, 0.0000], [0.0000, 4.4820, 0.0000], [0.0000, 0.0000, 4.9521]],
  "species": ["Y", "Ta", "Ta", "Pt"],
  "fractional_positions": [[0.0000, 0.0000, 0.0000], [0.0000, 0.5000, 0.5000], [0.5000, 0.0000, 0.5000], [0.5000, 0.5000, 0.0000]],
  "final_energy_ev_per_cell": -232.15,
  "crystal_system": "orthorhombic",
  "spacegroup": "Pmmm (47)",
  "formation_energy_mev_per_atom": -236,
  "n_ef_per_ev_cell": 3.63
}

***

(3)
{
  "formula": "YTaPt2",
  "functional": "meta-GGA SCAN",
  "state": "PBEsol geometry",
  "cell": [[3.2471, 0.0000, 0.0000], [0.0000, 3.2471, 0.0000], [0.0000, 0.0000, 7.0668]],
  "species": ["Y", "Ta", "Pt", "Pt"],
  "fractional_positions": [[0.0000, 0.0000, 0.0000], [0.0000, 0.0000, 0.5000], [0.5000, 0.5000, 0.2928], [0.5000, 0.5000, 0.7072]],
  "final_energy_ev_per_cell": -238.51,
  "crystal_system": "tetragonal",
  "spacegroup": "P4/mmm (123)",
  "formation_energy_mev_per_atom": -926,
  "n_ef_per_ev_cell": 3.04
}